Density functional theory data (PBE with a Hubbard U) for crystalline Li3MnF6 at its relaxed geometry.

abc: 5.172 8.454 8.753
angles: 62.62 87.40 87.04
Fractional positions:
Li (0.000, 0.000, 0.000)
Li (0.008, 0.468, 0.255)
Li (0.052, 0.706, 0.750)
Li (0.368, 0.354, 0.930)
Li (0.384, 0.069, 0.671)
Li (0.404, 0.555, 0.467)
Li (0.836, 0.014, 0.601)
Li (0.844, 0.256, 0.120)
Li (0.852, 0.746, 0.334)
Mn (0.335, 0.028, 0.337)
Mn (0.514, 0.700, 0.014)
Mn (0.899, 0.370, 0.668)
F (0.039, 0.261, 0.923)
F (0.057, 0.596, 0.600)
F (0.068, 0.950, 0.245)
F (0.116, 0.238, 0.274)
F (0.166, 0.937, 0.591)
F (0.213, 0.301, 0.592)
F (0.278, 0.613, 0.240)
F (0.282, 0.581, 0.938)
F (0.298, 0.913, 0.914)
F (0.523, 0.811, 0.406)
F (0.539, 0.161, 0.106)
F (0.579, 0.113, 0.439)
F (0.583, 0.448, 0.726)
F (0.718, 0.798, 0.778)
F (0.740, 0.493, 0.092)
F (0.752, 0.809, 0.092)
F (0.765, 0.141, 0.729)
F (0.769, 0.499, 0.415)

Values from the calculation:
The value obtained for the raw total energy is -5.19 eV per atom.